1.
Material: HfReIr2
Method: DFT, GGA-PBE
State: relaxed

Results
E_tot (eV/atom): -9.798
ΔE to the lowest computed polymorph (eV/f.u.): 2.88
E_form (eV per atom): 0.23
Space group: I-42d, No. 122

Cell lengths 3.9813, 3.9813, 9.3864 Å; angles 77.76, 77.76, 90.00 degrees
With the nearest neighbours (Å) after each atom.
Fractional positions:
Ir 0.6465 0.1250 0.2500  2 Re 2.61, 2 Hf 2.68, 2 Ir 2.70
Ir 0.1035 0.6250 0.2500  2 Re 2.61, 2 Hf 2.68, 2 Ir 2.70
Ir 0.8750 0.8965 0.7500  2 Re 2.61, 2 Hf 2.68, 2 Ir 2.70
Ir 0.3750 0.3535 0.7500  2 Re 2.61, 2 Hf 2.68, 2 Ir 2.70
Hf 0.5000 0.5000 0.0000  4 Ir 2.68, 4 Re 2.82
Hf 0.2500 0.7500 0.5000  4 Ir 2.68, 4 Re 2.82
Re 0.7500 0.2500 0.5000  4 Ir 2.61, 4 Hf 2.82
Re 0.0000 0.0000 0.0000  4 Ir 2.61, 4 Hf 2.82

2.
Material: Hf3ReIr
Method: DFT, GGA-PBE
State: relaxed

Results
E_tot (eV/atom): -9.384
ΔE to the lowest computed polymorph (eV/f.u.): 0.27
E_form (eV per atom): 0.85
Space group: Pm-3m, No. 221

Cell lengths 4.9218, 4.9218, 4.9218 Å; angles 90.00, 90.00, 90.00 degrees
With the nearest neighbours (Å) after each atom.
Fractional positions:
Re 0.0000 0.0000 0.0000  6 Hf 2.46
Ir 0.5000 0.5000 0.5000  12 Hf 3.48
Hf 0.5000 0.0000 0.0000  2 Re 2.46
Hf 0.0000 0.5000 0.0000  2 Re 2.46
Hf 0.0000 0.0000 0.5000  2 Re 2.46

Q: What is the ΔE to the lowest computed polymorph in the second record?
A: 0.27 eV/f.u.

Q: Among the records above, which one has the lowest E_form?
A: HfReIr2